# 1
Entry from Alexandria via LeMat-Bulk: an optimized crystal structure of Zn2AsBr (GGA-PBE).

The space group is Cm (No. 8) and the conventional cell measures 7.653, 3.895 and 6.724 Å, with angles of 90.00, 95.50 and 90.00 degrees. Symmetry generates all atoms from Zn at (0.000, 0.000, 0.000), Zn at (0.224, 0.500, 0.656), As at (0.290, 0.000, 0.878) and Br at (0.048, 0.500, 0.344).

The formation energy without anion corrections comes out at -26 kJ per mole of atoms. As for the crystal system: monoclinic.

# 2
Entry from Alexandria via LeMat-Bulk: an optimized crystal structure of ZnAs2Br8 (GGA-PBE).

The space group is C2/m (No. 12) and the conventional cell measures 10.660, 11.824 and 8.780 Å, with angles of 90.00, 113.13 and 90.00 degrees. Symmetry generates all atoms from Zn at (0.000, 0.000, 0.000), As at (0.192, 0.000, 0.635), Br at (0.069, 0.500, 0.279), Br at (0.161, 0.156, 0.791) and Br at (0.197, 0.000, 0.226).

The formation energy without anion corrections comes out at -47 kJ per mole of atoms. As for the crystal system: monoclinic.

# 3
Entry from Alexandria via LeMat-Bulk: an optimized crystal structure of Zn2AsBr (GGA-PBE).

The space group is Pm (No. 6) and the conventional cell measures 4.233, 4.979 and 4.234 Å, with angles of 90.00, 101.97 and 90.00 degrees. Symmetry generates all atoms from Zn at (0.000, 0.000, 0.000), Zn at (0.299, 0.500, 0.693), As at (0.381, 0.000, 0.613) and Br at (0.804, 0.500, 0.188).

The formation energy without anion corrections comes out at -15 kJ per mole of atoms. As for the crystal system: monoclinic.

| no. | size of the total moment (μB per cell) |
| --- | --- |
| 1 | 0.0 |
| 2 | 0.0 |
| 3 | 0.0 |